P.
Material: SmEr2Al3
Method: DFT, GGA-PBE
State: relaxed

The structure belongs to space group P4/mmm (No. 123); the cell edges are 3.587, 3.587 and 10.919 Å and the angles 90.00°, 90.00° and 90.00°. The asymmetric unit holds Sm at (0.000, 0.000, 0.000), Er at (0.000, 0.000, 0.338), Al at (0.500, 0.500, 0.177) and Al at (0.500, 0.500, 0.500).

The value obtained for the density of states at the Fermi level is 0.35 states/eV/atom.



Q.
Material: SmEr2Al3
Method: DFT, GGA-PBE
State: relaxed

The structure belongs to space group Cmmm (No. 65); the cell edges are 5.944, 10.342 and 4.996 Å and the angles 90.00°, 90.00° and 90.00°. The asymmetric unit holds Sm at (0.000, 0.000, 0.000), Er at (0.000, 0.334, 0.000), Al at (0.000, 0.500, 0.500) and Al at (0.250, 0.250, 0.500).

The value obtained for the density of states at the Fermi level is 1.03 states/eV/atom.



Which is the most stable structure? P is the most stable.



P.
Material: SmEr2Al9
Method: DFT, GGA-PBE
State: relaxed

The structure belongs to space group R-3m (No. 166, hexagonal axes); the cell edges are 5.5700, 5.5700 and 26.2423 Å and the angles 90.00°, 90.00° and 120.00°. The asymmetric unit holds Sm at (0.0000, 0.0000, 0.0000), Er at (0.0000, 0.0000, 0.1421), Al at (0.0000, 0.0000, 0.3355), Al at (0.0000, 0.0000, 0.5000) and Al at (0.0075, 0.5037, 0.9161).

The value obtained for the density of states at the Fermi level is 0.42 states/eV/atom.



Q.
Material: SmEr2Al9
Method: DFT, GGA-PBE
State: relaxed

The structure belongs to space group P4/mmm (No. 123); the cell edges are 4.265, 4.265 and 12.791 Å and the angles 90.00°, 90.00° and 90.00°. The asymmetric unit holds Sm at (0.000, 0.000, 0.000), Er at (0.000, 0.000, 0.335), Al at (0.000, 0.500, 0.171), Al at (0.000, 0.500, 0.500), Al at (0.500, 0.500, 0.000) and Al at (0.500, 0.500, 0.334).

The value obtained for the density of states at the Fermi level is 0.41 states/eV/atom.



Which is the most stable structure? Q is the most stable.



P.
Material: Sm2ErAl2
Method: DFT, GGA-PBE
State: relaxed

The structure belongs to space group Cmc2_1 (No. 36); the cell edges are 4.899, 10.394 and 10.942 Å and the angles 90.00°, 90.00° and 90.00°. The asymmetric unit holds Sm at (0.000, 0.092, 0.000), Sm at (0.000, 0.301, 0.228), Er at (0.000, 0.386, 0.849), Al at (0.000, 0.033, 0.741) and Al at (0.000, 0.211, 0.535).

The value obtained for the density of states at the Fermi level is 0.82 states/eV/atom.



Q.
Material: Sm2ErAl2
Method: DFT, GGA-PBE
State: relaxed

The structure belongs to space group Immm (No. 71); the cell edges are 4.870, 6.730 and 8.095 Å and the angles 90.00°, 90.00° and 90.00°. The asymmetric unit holds Sm at (0.000, 0.000, 0.197), Er at (0.000, 0.500, 0.000) and Al at (0.000, 0.301, 0.500).

The value obtained for the density of states at the Fermi level is 0.93 states/eV/atom.



Which is the most stable structure? Q is the most stable.



P.
Material: Sm3ErAl8
Method: DFT, GGA-PBE
State: relaxed

The structure belongs to space group P3m1 (No. 156); the cell edges are 5.6014, 5.6014 and 9.2170 Å and the angles 90.00°, 90.00° and 120.00°. The asymmetric unit holds Sm at (0.0000, 0.0000, 0.0000), Sm at (0.0000, 0.0000, 0.3638), Sm at (0.3333, 0.6667, 0.8629), Er at (0.3333, 0.6667, 0.4990), Al at (0.0091, 0.5045, 0.1828), Al at (0.3245, 0.1623, 0.6785), Al at (0.6667, 0.3333, 0.4320) and Al at (0.6667, 0.3333, 0.9296).

The value obtained for the density of states at the Fermi level is 0.48 states/eV/atom.



Q.
Material: Sm3ErAl8
Method: DFT, GGA-PBE
State: relaxed

The structure belongs to space group R3m (No. 160, hexagonal axes); the cell edges are 5.6051, 5.6051 and 27.5849 Å and the angles 90.00°, 90.00° and 120.00°. The asymmetric unit holds Sm at (0.0000, 0.0000, 0.0000), Sm at (0.0000, 0.0000, 0.1250), Sm at (0.0000, 0.0000, 0.6247), Er at (0.0000, 0.0000, 0.5005), Al at (0.0000, 0.0000, 0.3123), Al at (0.0000, 0.0000, 0.8128), Al at (0.9997, 0.4999, 0.5618) and Al at (0.0005, 0.5003, 0.0632).

The value obtained for the density of states at the Fermi level is 0.87 states/eV/atom.



Which is the most stable structure? Q is the most stable.



P.
Material: SmEr3Al8
Method: DFT, GGA-PBE
State: relaxed

The structure belongs to space group R3m (No. 160, hexagonal axes); the cell edges are 5.5486, 5.5486 and 27.3296 Å and the angles 90.00°, 90.00° and 120.00°. The asymmetric unit holds Sm at (0.0000, 0.0000, 0.0000), Er at (0.0000, 0.0000, 0.1251), Er at (0.0000, 0.0000, 0.5004), Er at (0.0000, 0.0000, 0.6244), Al at (0.0000, 0.0000, 0.3122), Al at (0.0000, 0.0000, 0.8127), Al at (0.0003, 0.5001, 0.0633) and Al at (0.1670, 0.3339, 0.8951).

The value obtained for the density of states at the Fermi level is 0.83 states/eV/atom.



Q.
Material: SmEr3Al8
Method: DFT, GGA-PBE
State: relaxed

The structure belongs to space group P3m1 (No. 156); the cell edges are 5.5484, 5.5484 and 9.1070 Å and the angles 90.00°, 90.00° and 120.00°. The asymmetric unit holds Sm at (0.0000, 0.0000, 0.0000), Er at (0.0000, 0.0000, 0.3646), Er at (0.6667, 0.3333, 0.4988), Er at (0.6667, 0.3333, 0.8632), Al at (0.1621, 0.3242, 0.6802), Al at (0.3333, 0.6667, 0.4334), Al at (0.3333, 0.6667, 0.9309) and Al at (0.5045, 0.0091, 0.1847).

The value obtained for the density of states at the Fermi level is 0.48 states/eV/atom.



Which is the most stable structure? P is the most stable.



P.
Material: SmEr3Al
Method: DFT, GGA-PBE
State: relaxed

The structure belongs to space group C2/c (No. 15); the cell edges are 12.255, 13.985 and 6.984 Å and the angles 90.00°, 100.04° and 90.00°. The asymmetric unit holds Sm at (0.114, 0.186, 0.162), Er at (0.114, 0.060, 0.613), Er at (0.129, 0.350, 0.528), Er at (0.171, 0.407, 0.025), Al at (0.000, 0.235, 0.750) and Al at (0.000, 0.492, 0.250).

The value obtained for the density of states at the Fermi level is 1.12 states/eV/atom.



Q.
Material: SmEr3Al
Method: DFT, GGA-PBE
State: relaxed

The structure belongs to space group C2/m (No. 12); the cell edges are 12.887, 3.581 and 12.420 Å and the angles 90.00°, 94.74° and 90.00°. The asymmetric unit holds Sm at (0.225, 0.000, 0.247), Er at (0.032, 0.000, 0.694), Er at (0.135, 0.500, 0.482), Er at (0.141, 0.000, 0.951) and Al at (0.047, 0.500, 0.120).

The value obtained for the density of states at the Fermi level is 1.21 states/eV/atom.



Which is the most stable structure? Q is the most stable.



P.
Material: SmEr4Al
Method: DFT, GGA-PBE
State: relaxed

The structure belongs to space group P4/mmm (No. 123); the cell edges are 3.523, 3.523 and 13.898 Å and the angles 90.00°, 90.00° and 90.00°. The asymmetric unit holds Sm at (0.000, 0.000, 0.000), Er at (0.000, 0.000, 0.365), Er at (0.500, 0.500, 0.183) and Al at (0.500, 0.500, 0.500).

The value obtained for the density of states at the Fermi level is 1.11 states/eV/atom.



Q.
Material: SmEr4Al
Method: DFT, GGA-PBE
State: relaxed

The structure belongs to space group C2/c (No. 15); the cell edges are 8.711, 13.751 and 6.169 Å and the angles 90.00°, 108.75° and 90.00°. The asymmetric unit holds Sm at (0.000, 0.095, 0.250), Er at (0.100, 0.316, 0.546), Er at (0.222, 0.116, 0.874) and Al at (0.000, 0.499, 0.750).

The value obtained for the density of states at the Fermi level is 1.22 states/eV/atom.



Which is the most stable structure? P is the most stable.



P.
Material: Sm3Er2Al3
Method: DFT, GGA-PBE
State: relaxed

The structure belongs to space group P-62m (No. 189); the cell edges are 8.5199, 8.5199 and 3.2967 Å and the angles 90.00°, 90.00° and 120.00°. The asymmetric unit holds Sm at (0.0000, 0.2435, 0.0000), Er at (0.3333, 0.6667, 0.0000) and Al at (0.0000, 0.6130, 0.5000).

The value obtained for the density of states at the Fermi level is 1.13 states/eV/atom.



Q.
Material: Sm3Er2Al3
Method: DFT, GGA-PBE
State: relaxed

The structure belongs to space group Immm (No. 71); the cell edges are 3.699, 5.250 and 21.785 Å and the angles 90.00°, 90.00° and 90.00°. The asymmetric unit holds Sm at (0.000, 0.000, 0.000), Sm at (0.000, 0.500, 0.121), Er at (0.000, 0.000, 0.231), Al at (0.000, 0.000, 0.500) and Al at (0.000, 0.500, 0.381).

The value obtained for the density of states at the Fermi level is 0.79 states/eV/atom.



Which is the most stable structure? Q is the most stable.